Entry 1:
VASP calculation (PBE-GGA) on an optimized crystal structure of Ca2Ac5Ge4. Values from VASP.

```
&SYSTEM
  ibrav = 0, nat = 11, ntyp = 3
/
ATOMIC_SPECIES
Ca 40.08 Ca.upf
Ac 227.00 Ac.upf
Ge 72.64 Ge.upf
CELL_PARAMETERS angstrom
11.386 -2.290 0.000
11.386 2.290 0.000
-2.648 0.000 7.310
ATOMIC_POSITIONS crystal
Ca 0.071 0.071 0.071
Ca 0.929 0.929 0.929
Ac 0.000 0.000 0.500
Ac 0.333 0.333 0.098
Ac 0.333 0.333 0.566
Ac 0.667 0.667 0.434
Ac 0.667 0.667 0.902
Ge 0.209 0.209 0.209
Ge 0.500 0.500 0.190
Ge 0.500 0.500 0.810
Ge 0.791 0.791 0.791
```

DOS(E_F) (states/eV/atom): 0.945
E_tot (eV/atom): -4.36
Calculated formation energy (eV per atom): -0.451

Entry 2:
VASP calculation (PBE-GGA) on an optimized crystal structure of CaAc2Ge. Values from VASP.

```
&SYSTEM
  ibrav = 0, nat = 4, ntyp = 3
/
ATOMIC_SPECIES
Ca 40.08 Ca.upf
Ac 227.00 Ac.upf
Ge 72.64 Ge.upf
CELL_PARAMETERS angstrom
0.000 4.087 4.087
4.087 0.000 4.087
4.087 4.087 0.000
ATOMIC_POSITIONS crystal
Ca 0.000 0.000 0.000
Ac 0.250 0.250 0.250
Ac 0.750 0.750 0.750
Ge 0.500 0.500 0.500
```

DOS(E_F) (states/eV/atom): 1.374
E above lowest polymorph (meV/atom): 222
E_tot (eV/atom): -3.79
Calculated formation energy (eV per atom): -0.080

Entry 3:
VASP calculation (PBE-GGA) on an optimized crystal structure of CaAc2Ge. Values from VASP.

```
&SYSTEM
  ibrav = 0, nat = 4, ntyp = 3
/
ATOMIC_SPECIES
Ca 40.08 Ca.upf
Ac 227.00 Ac.upf
Ge 72.64 Ge.upf
CELL_PARAMETERS angstrom
5.339 0.000 0.000
0.000 5.339 0.000
0.000 0.000 4.738
ATOMIC_POSITIONS crystal
Ca 0.000 0.000 0.000
Ac 0.000 0.500 0.500
Ac 0.500 0.000 0.500
Ge 0.500 0.500 0.000
```

DOS(E_F) (states/eV/atom): 0.773
E above lowest polymorph (meV/atom): 110
E_tot (eV/atom): -3.90
Calculated formation energy (eV per atom): -0.193